<1>
# AcPm2Gd, optimized geometry, DFT GGA-PBE
data_AcPm2Gd
_chemical_formula_sum 'Ac1 Pm2 Gd1'
_cell_length_a 3.754
_cell_length_b 3.754
_cell_length_c 10.341
_cell_angle_alpha 90.00
_cell_angle_beta 90.00
_cell_angle_gamma 90.00
_symmetry_space_group_name_H-M 'P 1'
_symmetry_Int_Tables_number 1
loop_
_symmetry_equiv_pos_as_xyz
'x,y,z'
loop_
_atom_site_label
_atom_site_fract_x
_atom_site_fract_y
_atom_site_fract_z
Ac1 0.000 0.000 0.000
Pm1 0.500 0.500 0.263
Pm2 0.500 0.500 0.737
Gd1 0.000 0.000 0.500
# symmetry: P4/mmm (123)
# M_tot: 7.332 Bohr magnetons per cell
# N(E_F): 1.823 states/eV per atom

<2>
# AcPm2Gd, optimized geometry, DFT GGA-PBE
data_AcPm2Gd
_chemical_formula_sum 'Ac4 Pm8 Gd4'
_cell_length_a 8.363
_cell_length_b 8.363
_cell_length_c 8.363
_cell_angle_alpha 90.00
_cell_angle_beta 90.00
_cell_angle_gamma 90.00
_symmetry_space_group_name_H-M 'P 1'
_symmetry_Int_Tables_number 1
loop_
_symmetry_equiv_pos_as_xyz
'x,y,z'
loop_
_atom_site_label
_atom_site_fract_x
_atom_site_fract_y
_atom_site_fract_z
Ac1 0.000 0.000 0.000
Ac2 0.000 0.500 0.500
Ac3 0.500 0.000 0.500
Ac4 0.500 0.500 0.000
Pm1 0.250 0.250 0.250
Pm2 0.250 0.250 0.750
Pm3 0.250 0.750 0.250
Pm4 0.250 0.750 0.750
Pm5 0.750 0.250 0.250
Pm6 0.750 0.250 0.750
Pm7 0.750 0.750 0.250
Pm8 0.750 0.750 0.750
Gd1 0.000 0.000 0.500
Gd2 0.000 0.500 0.000
Gd3 0.500 0.000 0.000
Gd4 0.500 0.500 0.500
# symmetry: Fm-3m (225)
# M_tot: 35.283 Bohr magnetons per cell
# N(E_F): 1.889 states/eV per atom

If you had to name the least stable structure above, which would it be? It would be <2>.